A plane-wave DFT calculation with GGA+U was carried out for crystalline Ba3NiTe2O9 at its relaxed geometry.

POSCAR file:
```
Ba3NiTe2O9
1.0
5.9236 0.0000 0.0000
-2.9618 5.1300 0.0000
0.0000 0.0000 7.2634
O Ba Te Ni
9 3 2 1
Cartesian
1.4809 2.5650 0.0000
1.4346 4.2482 2.4009
-1.4346 4.2482 2.4009
0.0000 1.7635 2.4009
1.5272 0.8817 4.8625
2.9618 0.0000 0.0000
4.3963 0.8817 4.8625
2.9618 3.3665 4.8625
-1.4809 2.5650 0.0000
0.0000 0.0000 0.0000
0.0000 3.4200 4.8225
2.9618 1.7100 2.4408
0.0000 3.4200 1.3028
2.9618 1.7100 5.9606
0.0000 0.0000 3.6317
```

Summary:
- theoretical density (Mg/m³) = 6.5
- VASP energy (eV/atom) = -5.791